# 1
GePd2S (PBE, optimized geometry); space-group type = Fm-3m (225)
1.0
0.0000 3.1458 3.1458
3.1458 0.0000 3.1458
3.1458 3.1458 0.0000
Ge Pd S
1 2 1
direct
0.0000 0.0000 0.0000
0.2500 0.2500 0.2500
0.7500 0.7500 0.7500
0.5000 0.5000 0.5000

=====

# 2
GePdS (PBE, optimized geometry); space-group type = P1 (1)
1.0
4.4664 0.0000 0.0000
0.5811 4.4285 0.0000
1.1610 1.0742 5.8896
Ge Pd S
2 2 2
direct
0.0000 0.0000 0.0000
0.3390 0.3401 0.6197
0.0533 0.2830 0.3107
0.5618 0.7792 0.3103
0.3749 0.5847 0.0311
0.7532 0.9631 0.5921

=====

# 3
GePdS3 (PBE, optimized geometry); space-group type = P-1 (2)
1.0
3.5014 0.0000 0.0000
-1.7355 7.6915 0.0000
-0.0100 -2.2817 9.3542
Ge Pd S
2 2 6
direct
0.0846 0.1682 0.2816
0.9154 0.8318 0.7184
0.3983 0.7942 0.0456
0.6017 0.2058 0.9544
0.0655 0.1338 0.7876
0.1619 0.3263 0.1112
0.3706 0.7422 0.5713
0.6294 0.2578 0.4287
0.8381 0.6737 0.8888
0.9345 0.8662 0.2124

=====

# 4
GeSbPd2S (PBE, optimized geometry); space-group type = P4/mmm (123)
1.0
4.9523 0.0000 0.0000
0.0000 4.9523 0.0000
0.0000 0.0000 5.1737
Ge Sb Pd S
1 1 2 1
direct
0.0000 0.0000 0.0000
0.5000 0.5000 0.5000
0.0000 0.5000 0.5000
0.5000 0.0000 0.5000
0.5000 0.5000 0.0000

=====

# 5
ScGePd2S (PBE, optimized geometry); space-group type = P4/mmm (123)
1.0
4.5863 0.0000 0.0000
0.0000 4.5863 0.0000
0.0000 0.0000 4.9863
Sc Ge Pd S
1 1 2 1
direct
0.0000 0.0000 0.0000
0.5000 0.5000 0.5000
0.0000 0.5000 0.5000
0.5000 0.0000 0.5000
0.5000 0.5000 0.0000

=====

# 6
GeSbPd (PBE, optimized geometry); offset from the most stable computed form = 0.1550 eV/atom; space-group type = I4/mmm (139)
1.0
-1.5946 1.5946 12.1481
1.5946 -1.5946 12.1481
1.5946 1.5946 -12.1481
Ge Sb Pd
2 2 2
direct
0.0532 0.0532 0.0000
0.9468 0.9468 0.0000
0.1907 0.1907 0.0000
0.8093 0.8093 0.0000
0.3892 0.3892 0.0000
0.6108 0.6108 0.0000

=====

How do the records compare in E_tot? In the order shown, they have -4.91 -4.90 -4.79 -4.04 -5.16 -4.79 eV/atom.
How do the records compare in raw formation energy? In the order shown, they have -0.130 -0.250 -0.356 0.608 -0.070 -0.150 eV per atom.
How do the records compare in spin magnetization? In the order shown, they have 0.00 0.00 0.00 0.00 0.00 0.00 μB/f.u..